--- i ---
Nb3AlFe8 after structural relaxation, computed with GGA-PBE.

```
data_Nb3AlFe8
_chemical_formula_sum 'Nb3 Al1 Fe8'
_cell_length_a 8.2986
_cell_length_b 8.2986
_cell_length_c 8.2986
_cell_angle_alpha 33.69
_cell_angle_beta 33.69
_cell_angle_gamma 33.69
_space_group_name_H-M_alt 'P 1'
_space_group_IT_number 1
_space_group_name_Hall 'P 1'
loop_
_atom_site_label
_atom_site_type_symbol
_atom_site_fract_x
_atom_site_fract_y
_atom_site_fract_z
_atom_site_occupancy
Nb1 Nb 0.0000 0.0000 0.0000 1
Nb2 Nb 0.1265 0.1265 0.1265 1
Nb3 Nb 0.5049 0.5049 0.5049 1
Al1 Al 0.6286 0.6286 0.6286 1
Fe1 Fe 0.0639 0.5645 0.5645 1
Fe2 Fe 0.0647 0.0647 0.5650 1
Fe3 Fe 0.0647 0.5650 0.0647 1
Fe4 Fe 0.3144 0.3144 0.3144 1
Fe5 Fe 0.5645 0.0639 0.5645 1
Fe6 Fe 0.5645 0.5645 0.0639 1
Fe7 Fe 0.5650 0.0647 0.0647 1
Fe8 Fe 0.8143 0.8143 0.8143 1
```


--- ii ---
Nb3AlFe8 after structural relaxation, computed with GGA-PBE.

```
data_Nb3AlFe8
_chemical_formula_sum 'Nb3 Al1 Fe8'
_cell_length_a 4.7883
_cell_length_b 4.7883
_cell_length_c 7.8025
_cell_angle_alpha 90.00
_cell_angle_beta 90.00
_cell_angle_gamma 120.00
_space_group_name_H-M_alt 'P 1'
_space_group_IT_number 1
_space_group_name_Hall 'P 1'
loop_
_atom_site_label
_atom_site_type_symbol
_atom_site_fract_x
_atom_site_fract_y
_atom_site_fract_z
_atom_site_occupancy
Nb1 Nb 0.0000 0.0000 0.0000 1
Nb2 Nb 0.0000 0.0000 0.3765 1
Nb3 Nb 0.3333 0.6667 0.5202 1
Al1 Al 0.3333 0.6667 0.8859 1
Fe1 Fe 0.0054 0.5027 0.1919 1
Fe2 Fe 0.3302 0.1651 0.6930 1
Fe3 Fe 0.4973 0.5027 0.1919 1
Fe4 Fe 0.4973 0.9946 0.1919 1
Fe5 Fe 0.6667 0.3333 0.4360 1
Fe6 Fe 0.6667 0.3333 0.9427 1
Fe7 Fe 0.8349 0.1651 0.6930 1
Fe8 Fe 0.8349 0.6698 0.6930 1
```


On energetic grounds, i is preferred over the next structure by 0.006 eV/atom.


--- i ---
Nb3AlFe after structural relaxation, computed with GGA-PBE.

```
data_Nb3AlFe
_chemical_formula_sum 'Nb3 Al1 Fe1'
_cell_length_a 4.6511
_cell_length_b 4.6511
_cell_length_c 4.6511
_cell_angle_alpha 90.00
_cell_angle_beta 90.00
_cell_angle_gamma 90.00
_space_group_name_H-M_alt 'P 1'
_space_group_IT_number 1
_space_group_name_Hall 'P 1'
loop_
_atom_site_label
_atom_site_type_symbol
_atom_site_fract_x
_atom_site_fract_y
_atom_site_fract_z
_atom_site_occupancy
Nb1 Nb 0.0000 0.0000 0.5000 1
Nb2 Nb 0.0000 0.5000 0.0000 1
Nb3 Nb 0.5000 0.0000 0.0000 1
Al1 Al 0.0000 0.0000 0.0000 1
Fe1 Fe 0.5000 0.5000 0.5000 1
```


--- ii ---
Nb3AlFe after structural relaxation, computed with GGA-PBE.

```
data_Nb3AlFe
_chemical_formula_sum 'Nb3 Al1 Fe1'
_cell_length_a 4.5880
_cell_length_b 4.5880
_cell_length_c 4.5880
_cell_angle_alpha 90.00
_cell_angle_beta 90.00
_cell_angle_gamma 90.00
_space_group_name_H-M_alt 'P 1'
_space_group_IT_number 1
_space_group_name_Hall 'P 1'
loop_
_atom_site_label
_atom_site_type_symbol
_atom_site_fract_x
_atom_site_fract_y
_atom_site_fract_z
_atom_site_occupancy
Nb1 Nb 0.0000 0.0000 0.5000 1
Nb2 Nb 0.0000 0.5000 0.0000 1
Nb3 Nb 0.5000 0.0000 0.0000 1
Al1 Al 0.5000 0.5000 0.5000 1
Fe1 Fe 0.0000 0.0000 0.0000 1
```


On energetic grounds, ii is preferred over the next structure by 1.057 eV/atom.